Material: Ca2NbHgS
Method: DFT, GGA-PBE
State: optimized geometry

Calculated values
As for the space-group type: No. 123. Its uncorrected formation energy is 77 kJ/mol of atoms.

The structure in POSCAR format:
```
Ca2NbHgS
1.0
5.839 0.000 0.000
0.000 5.839 0.000
0.000 0.000 4.975
Ca Nb Hg S
2 1 1 1
Cartesian
0.000 2.919 0.000
2.919 0.000 0.000
0.000 0.000 2.487
2.919 2.919 0.000
2.919 2.919 2.487
```


Material: Ca2ScNbHg
Method: DFT, GGA-PBE
State: optimized geometry

Calculated values
As for the space-group type: No. 123. Its energy relative to the elements is 0.912 eV/atom.

The structure in POSCAR format:
```
Ca2ScNbHg
1.0
5.913 0.000 0.000
0.000 5.913 0.000
0.000 0.000 4.726
Ca Sc Nb Hg
2 1 1 1
Cartesian
0.000 2.957 0.000
2.957 0.000 0.000
0.000 0.000 0.000
0.000 0.000 2.363
2.957 2.957 2.363
```


Material: CaNdHg
Method: DFT, GGA-PBE
State: optimized geometry

Calculated values
As for the space-group type: No. 107. Its energy relative to the elements is -0.314 eV/atom. The relative energy among the computed polymorphs is 0.018 eV per atom.

The structure in POSCAR format:
```
CaNdHg
1.0
3.735 0.000 0.000
0.000 3.735 0.000
0.000 0.000 13.597
Ca Nd Hg
2 2 2
Cartesian
0.000 0.000 0.000
1.867 1.867 6.798
0.000 0.000 3.855
1.867 1.867 10.653
0.000 0.000 8.722
1.867 1.867 1.923
```


Material: Ca3NdHg4
Method: DFT, GGA-PBE
State: optimized geometry

Calculated values
As for the space-group type: No. 12. Its energy relative to the elements is -0.548 eV/atom.

The structure in POSCAR format:
```
Ca3NdHg4
1.0
15.948 0.000 0.000
0.000 5.410 0.000
-1.824 0.000 5.093
Ca Nd Hg
6 2 8
Cartesian
0.000 0.000 0.000
3.512 0.000 1.267
2.638 2.705 3.826
7.974 2.705 0.000
11.486 2.705 1.267
10.612 0.000 3.826
-0.912 2.705 2.546
7.062 0.000 2.546
0.845 0.000 3.182
1.758 2.705 0.635
4.393 0.000 4.458
5.305 2.705 1.911
9.732 0.000 0.635
8.819 2.705 3.182
13.279 0.000 1.911
12.367 2.705 4.458
```


Material: CaNdHg
Method: DFT, GGA-PBE
State: optimized geometry

Calculated values
As for the space-group type: No. 194. Its energy relative to the elements is -0.332 eV/atom. The relative energy among the computed polymorphs is 0.000 eV per atom.

The structure in POSCAR format:
```
CaNdHg
1.0
5.455 0.000 0.000
-2.727 4.724 0.000
0.000 0.000 7.013
Ca Nd Hg
2 2 2
Cartesian
0.000 0.000 0.000
0.000 0.000 3.507
0.000 3.149 1.753
2.727 1.575 5.260
0.000 3.149 5.260
2.727 1.575 1.753
```


Material: Ca2NdHg8
Method: DFT, GGA-PBE
State: optimized geometry

Calculated values
As for the space-group type: No. 71. Its energy relative to the elements is -0.354 eV/atom.

The structure in POSCAR format:
```
Ca2NdHg8
1.0
-2.591 3.946 7.109
2.591 -3.946 7.109
2.591 3.946 -7.109
Ca Nd Hg
2 1 8
Cartesian
0.000 0.000 2.970
0.000 0.000 11.248
0.000 0.000 7.109
2.591 1.529 -1.984
0.000 1.539 0.000
2.591 1.529 1.984
2.591 0.000 4.945
0.000 3.946 2.164
0.000 2.416 5.125
0.000 6.352 0.000
0.000 2.416 9.093
```


Material: Ca3NdHg2
Method: DFT, GGA-PBE
State: optimized geometry

Calculated values
As for the space-group type: No. 26. Its energy relative to the elements is -0.371 eV/atom.

The structure in POSCAR format:
```
Ca3NdHg2
1.0
5.147 0.000 0.000
0.000 9.839 0.000
0.000 0.000 7.357
Ca Nd Hg
6 2 4
Cartesian
0.000 0.677 0.000
0.000 3.101 2.750
0.000 6.737 6.429
0.000 9.162 3.679
2.573 1.793 5.059
2.573 8.046 1.380
2.573 4.312 0.438
2.573 5.527 4.116
0.000 3.641 5.884
0.000 6.198 2.206
2.573 1.358 1.908
2.573 8.481 5.587
```


Material: CaNdHg
Method: DFT, GGA-PBE
State: optimized geometry

Calculated values
As for the space-group type: No. 216. Its energy relative to the elements is -0.208 eV/atom. The relative energy among the computed polymorphs is 0.124 eV per atom.

The structure in POSCAR format:
```
CaNdHg
1.0
7.419 0.000 0.000
0.000 7.419 0.000
0.000 0.000 7.419
Ca Nd Hg
4 4 4
Cartesian
0.000 0.000 0.000
0.000 3.709 3.709
3.709 0.000 3.709
3.709 3.709 0.000
0.000 0.000 3.709
0.000 3.709 0.000
3.709 0.000 0.000
3.709 3.709 3.709
1.855 1.855 1.855
1.855 5.564 5.564
5.564 1.855 5.564
5.564 5.564 1.855
```


Material: CaNdHg3
Method: DFT, GGA-PBE
State: optimized geometry

Calculated values
As for the space-group type: No. 194. Its energy relative to the elements is -0.221 eV/atom. The relative energy among the computed polymorphs is 0.228 eV per atom.

The structure in POSCAR format:
```
CaNdHg3
1.0
7.070 0.000 0.000
-3.535 6.123 0.000
0.000 0.000 6.891
Ca Nd Hg
2 2 6
Cartesian
0.000 0.000 0.000
0.000 0.000 3.446
0.000 4.082 1.723
3.535 2.041 5.169
0.000 2.420 5.169
-1.439 4.913 5.169
2.096 1.210 1.723
1.439 4.913 5.169
4.974 1.210 1.723
3.535 3.703 1.723
```


Material: CaNd3Hg5
Method: DFT, GGA-PBE
State: optimized geometry

Calculated values
As for the space-group type: No. 193. Its energy relative to the elements is -0.437 eV/atom.

The structure in POSCAR format:
```
CaNd3Hg5
1.0
9.304 0.000 0.000
-4.652 8.058 0.000
0.000 0.000 6.657
Ca Nd Hg
2 6 10
Cartesian
0.000 0.000 0.000
0.000 0.000 3.329
-1.700 2.945 1.664
-2.952 5.113 4.993
3.400 0.000 1.664
1.700 2.945 4.993
5.904 0.000 4.993
2.952 5.113 1.664
-1.401 2.426 4.993
-3.251 5.631 1.664
2.802 0.000 4.993
1.401 2.426 1.664
0.000 5.372 0.000
0.000 5.372 3.329
4.652 2.686 0.000
4.652 2.686 3.329
6.502 0.000 1.664
3.251 5.631 4.993
```


Material: CaNd2Hg4
Method: DFT, GGA-PBE
State: optimized geometry

Calculated values
As for the space-group type: No. 166. Its energy relative to the elements is -0.367 eV/atom. The relative energy among the computed polymorphs is 0.000 eV per atom.

The structure in POSCAR format:
```
CaNd2Hg4
1.0
2.618 1.511 8.765
-2.618 1.511 8.765
0.000 -3.023 8.765
Ca Nd Hg
1 2 4
Cartesian
0.000 0.000 0.000
0.000 0.000 6.480
0.000 0.000 19.816
0.000 0.000 3.317
0.000 0.000 9.840
0.000 0.000 16.457
0.000 0.000 22.980
```


Material: CaNdHg
Method: DFT, GGA-PBE
State: optimized geometry

Calculated values
As for the space-group type: No. 156. Its energy relative to the elements is -0.203 eV/atom. The relative energy among the computed polymorphs is 0.129 eV per atom.

The structure in POSCAR format:
```
CaNdHg
1.0
5.266 0.000 0.000
-2.633 4.561 0.000
0.000 0.000 3.886
Ca Nd Hg
1 1 1
Cartesian
0.000 0.000 0.000
2.633 1.520 1.803
0.000 3.041 2.895
```


Material: Ca2NdHg7
Method: DFT, GGA-PBE
State: optimized geometry

Calculated values
As for the space-group type: No. 156. Its energy relative to the elements is -0.327 eV/atom.

The structure in POSCAR format:
```
Ca2NdHg7
1.0
5.095 0.000 0.000
-2.548 4.412 0.000
0.000 0.000 12.227
Ca Nd Hg
2 1 7
Cartesian
0.000 0.000 0.000
0.000 2.942 7.754
2.548 1.471 4.716
0.000 0.000 3.081
0.000 0.000 6.166
0.000 0.000 9.094
0.000 2.942 3.535
0.000 2.942 11.154
2.548 1.471 1.354
2.548 1.471 9.711
```


Material: Ca3Nd2Hg3
Method: DFT, GGA-PBE
State: optimized geometry

Calculated values
As for the space-group type: No. 71. Its energy relative to the elements is -0.392 eV/atom.

The structure in POSCAR format:
```
Ca3Nd2Hg3
1.0
3.817 0.000 0.000
0.000 5.468 0.000
0.000 0.000 22.872
Ca Nd Hg
6 4 6
Cartesian
0.000 0.000 0.000
0.000 2.734 2.677
0.000 2.734 20.195
1.909 0.000 8.759
1.909 0.000 14.113
1.909 2.734 11.436
0.000 0.000 5.276
0.000 0.000 17.596
1.909 2.734 6.160
1.909 2.734 16.712
0.000 0.000 11.436
0.000 2.734 8.720
0.000 2.734 14.152
1.909 0.000 2.716
1.909 0.000 20.156
1.909 2.734 0.000
```


Material: Ca2NdHg3
Method: DFT, GGA-PBE
State: optimized geometry

Calculated values
As for the space-group type: No. 164. Its energy relative to the elements is -0.550 eV/atom. The relative energy among the computed polymorphs is 0.000 eV per atom.

The structure in POSCAR format:
```
Ca2NdHg3
1.0
5.371 0.000 0.000
-2.686 4.652 0.000
0.000 0.000 6.618
Ca Nd Hg
2 1 3
Cartesian
0.000 3.101 1.060
2.686 1.551 5.558
0.000 0.000 3.309
0.000 0.000 0.000
0.000 3.101 4.386
2.686 1.551 2.233
```


Material: CaNdHg3
Method: DFT, GGA-PBE
State: optimized geometry

Calculated values
As for the space-group type: No. 63. Its energy relative to the elements is -0.449 eV/atom. The relative energy among the computed polymorphs is 0.000 eV per atom.

The structure in POSCAR format:
```
CaNdHg3
1.0
1.813 -14.727 0.000
1.813 14.727 0.000
0.000 0.000 5.022
Ca Nd Hg
2 2 6
Cartesian
1.813 8.551 3.767
1.813 -8.551 1.256
1.813 12.508 1.256
1.813 -12.508 3.767
1.813 5.280 3.767
1.813 3.588 1.256
1.813 0.701 1.256
1.813 -0.701 3.767
1.813 -3.588 3.767
1.813 -5.280 1.256
```


Material: CaNd2Hg5
Method: DFT, GGA-PBE
State: optimized geometry

Calculated values
As for the space-group type: No. 139. Its energy relative to the elements is -0.420 eV/atom.

The structure in POSCAR format:
```
CaNd2Hg5
1.0
5.206 0.000 0.000
0.000 5.206 0.000
0.000 0.000 15.684
Ca Nd Hg
2 4 10
Cartesian
0.000 0.000 0.000
2.603 2.603 7.842
0.000 0.000 4.137
0.000 0.000 11.546
2.603 2.603 3.704
2.603 2.603 11.979
0.000 0.000 7.842
0.000 2.603 1.916
0.000 2.603 5.926
0.000 2.603 9.758
0.000 2.603 13.768
2.603 0.000 1.916
2.603 0.000 5.926
2.603 0.000 9.758
2.603 0.000 13.768
2.603 2.603 0.000
```


Material: CaNd2Hg7
Method: DFT, GGA-PBE
State: optimized geometry

Calculated values
As for the space-group type: No. 156. Its energy relative to the elements is -0.323 eV/atom.

The structure in POSCAR format:
```
CaNd2Hg7
1.0
5.074 0.000 0.000
-2.537 4.394 0.000
0.000 0.000 12.280
Ca Nd Hg
1 2 7
Cartesian
0.000 0.000 0.000
0.000 2.930 8.480
2.537 1.465 4.507
0.000 0.000 3.368
0.000 0.000 6.842
0.000 2.930 2.336
0.000 2.930 5.483
0.000 2.930 11.534
2.537 1.465 1.133
2.537 1.465 10.026
```


Material: CaNd2Hg4
Method: DFT, GGA-PBE
State: optimized geometry

Calculated values
As for the space-group type: No. 139. Its energy relative to the elements is -0.071 eV/atom. The relative energy among the computed polymorphs is 0.295 eV per atom.

The structure in POSCAR format:
```
CaNd2Hg4
1.0
5.609 0.000 0.000
0.000 5.609 0.000
0.000 0.000 15.776
Ca Nd Hg
2 4 8
Cartesian
0.000 0.000 0.000
2.805 2.805 7.888
0.000 0.000 6.195
0.000 0.000 9.581
2.805 2.805 1.693
2.805 2.805 14.083
0.000 0.000 3.064
0.000 0.000 12.712
0.000 2.805 0.000
0.000 2.805 7.888
2.805 0.000 0.000
2.805 0.000 7.888
2.805 2.805 4.824
2.805 2.805 10.952
```


Material: CaNdHg4
Method: DFT, GGA-PBE
State: optimized geometry

Calculated values
As for the space-group type: No. 216. Its energy relative to the elements is -0.277 eV/atom. The relative energy among the computed polymorphs is 0.166 eV per atom.

The structure in POSCAR format:
```
CaNdHg4
1.0
0.000 4.269 4.269
4.269 0.000 4.269
4.269 4.269 0.000
Ca Nd Hg
1 1 4
Cartesian
0.000 0.000 0.000
2.135 2.135 2.135
5.334 3.204 3.204
3.204 5.334 3.204
3.204 3.204 5.334
5.334 5.334 5.334
```


| no. | uncorrected energy (eV per atom) |
| --- | --- |
| 1 | -2.905 |
| 2 | -3.229 |
| 3 | -2.671 |
| 4 | -2.045 |
| 5 | -2.689 |
| 6 | -1.371 |
| 7 | -2.267 |
| 8 | -2.565 |
| 9 | -1.756 |
| 10 | -2.417 |
| 11 | -2.187 |
| 12 | -2.560 |
| 13 | -1.416 |
| 14 | -2.447 |
| 15 | -2.163 |
| 16 | -1.984 |
| 17 | -2.051 |
| 18 | -1.688 |
| 19 | -1.892 |
| 20 | -1.606 |